[1]
The following is a GGA-PBE calculation of a geometry-optimized NdDyLu structure, from OQMD via LeMat-Bulk.

Calculated values
Energy relative to the elements in kJ per mole of atoms: 67.5
SG: F-43m

Geometry as extended XYZ:
```
12
Lattice="7.662 0.000 0.000 0.000 7.662 0.000 0.000 0.000 7.662" Properties=species:S:1:pos:R:3 pbc="T T T"
Nd 0.000 0.000 0.000
Nd 0.000 3.831 3.831
Nd 3.831 0.000 3.831
Nd 3.831 3.831 0.000
Dy 0.000 0.000 3.831
Dy 0.000 3.831 0.000
Dy 3.831 0.000 0.000
Dy 3.831 3.831 3.831
Lu 1.915 1.915 5.746
Lu 1.915 5.746 1.915
Lu 5.746 1.915 1.915
Lu 5.746 5.746 5.746
```

---

[2]
The following is a GGA-PBE calculation of a geometry-optimized Sr2Al4AgIr structure, from OQMD via LeMat-Bulk.

Calculated values
SG: Amm2
Raw total energy in eV/atom: -4.1971

Geometry as extended XYZ:
```
16
Lattice="7.510 0.000 0.000 0.000 4.254 0.000 0.000 0.000 11.442" Properties=species:S:1:pos:R:3 pbc="T T T"
Sr 0.000 0.000 0.000
Sr 0.000 2.127 5.721
Sr 3.755 0.000 1.124
Sr 3.755 2.127 6.845
Al 1.340 0.000 8.302
Al 1.340 2.127 2.581
Al 2.226 0.000 4.276
Al 2.226 2.127 9.997
Al 5.284 0.000 4.276
Al 5.284 2.127 9.997
Al 6.171 0.000 8.302
Al 6.171 2.127 2.581
Ag 3.755 0.000 9.424
Ag 3.755 2.127 3.703
Ir 0.000 0.000 3.072
Ir 0.000 2.127 8.793
```